The following is a DFT calculation (GGA-PBE) of a relaxed structure of HfCo7.

Cell lengths 4.9716, 4.9716, 4.1878 Å; angles 90.00, 90.00, 114.83 degrees
Closest atoms and distances in Å follow each position.
Element x y z (fractional)
Co1 0.2238 0.2238 0.0000  7 Co 2.40-2.54, 2 Hf 2.56
Co2 0.7468 0.2532 0.0000  10 Co 2.44-2.68
Co3 0.2532 0.7468 0.0000  10 Co 2.44-2.68
Co4 0.7762 0.7762 0.0000  7 Co 2.40-2.54, 2 Hf 2.56
Co5 0.0000 0.0000 0.5000  8 Co 2.41-2.49, 2 Hf 2.68
Co6 0.5000 0.0000 0.5000  8 Co 2.49-2.68, 2 Hf 2.49
Co7 0.0000 0.5000 0.5000  8 Co 2.49-2.68, 2 Hf 2.49
Hf1 0.5000 0.5000 0.5000  10 Co 2.49-2.68

Results
As for the crystal system: orthorhombic. As for the symmetry: No. 65. The energy of formation comes out at 46.6 meV/atom.

***

The following is a DFT calculation (GGA-PBE) of a relaxed structure of HfCo2.

Cell lengths 6.1000, 3.0254, 9.2841 Å; angles 90.00, 90.00, 90.00 degrees
Closest atoms and distances in Å follow each position.
Element x y z (fractional)
Co1 0.3562 0.7500 0.0268  4 Co 2.37-2.49, 1 Hf 2.63
Co2 0.0482 0.2500 0.0941  4 Co 2.38-2.49, 4 Hf 2.66
Co3 0.5482 0.2500 0.4059  4 Co 2.38-2.49, 4 Hf 2.66
Co4 0.8562 0.7500 0.4732  4 Co 2.37-2.49, 1 Hf 2.63
Co5 0.1438 0.2500 0.5268  4 Co 2.37-2.49, 1 Hf 2.63
Co6 0.4518 0.7500 0.5941  4 Co 2.38-2.49, 4 Hf 2.66
Co7 0.9518 0.7500 0.9059  4 Co 2.38-2.49, 4 Hf 2.66
Co8 0.6438 0.2500 0.9732  4 Co 2.37-2.49, 1 Hf 2.63
Hf1 0.7300 0.7500 0.2021  8 Co 2.63-2.80
Hf2 0.2300 0.7500 0.2979  8 Co 2.63-2.80
Hf3 0.7700 0.2500 0.7021  8 Co 2.63-2.80
Hf4 0.2700 0.2500 0.7979  8 Co 2.63-2.80

Results
As for the crystal system: orthorhombic. As for the symmetry: No. 62. The energy of formation comes out at -11.6 meV/atom.

***

The following is a DFT calculation (GGA-PBE) of a relaxed structure of HfCo2.

Cell lengths 4.8127, 4.8127, 4.4144 Å; angles 90.00, 90.00, 90.00 degrees
Closest atoms and distances in Å follow each position.
Element x y z (fractional)
Co1 0.3309 0.3309 0.0000  3 Hf 2.25-2.49, 1 Co 2.30
Co2 0.6691 0.6691 0.0000  3 Hf 2.25-2.49, 1 Co 2.30
Co3 0.8309 0.1691 0.5000  3 Hf 2.25-2.49, 1 Co 2.30
Co4 0.1691 0.8309 0.5000  3 Hf 2.25-2.49, 1 Co 2.30
Hf1 0.0000 0.0000 0.0000  6 Co 2.25-2.49
Hf2 0.5000 0.5000 0.5000  6 Co 2.25-2.49

Results
As for the crystal system: tetragonal. As for the symmetry: No. 136. The energy of formation comes out at 1088.0 meV/atom.

***

The following is a DFT calculation (GGA-PBE) of a relaxed structure of Hf6Co23.

Cell lengths 8.0429, 8.0429, 8.0429 Å; angles 120.00, 90.00, 120.00 degrees
Closest atoms and distances in Å follow each position.
Element x y z (fractional)
Co1 0.0000 0.0000 0.0000  8 Co 2.38
Co2 0.5000 0.0000 0.0000  8 Co 2.33-2.49
Co3 0.0000 0.5000 0.0000  8 Co 2.33-2.49
Co4 0.5000 0.5000 0.0000  8 Co 2.33-2.49
Co5 0.6739 0.3478 0.0217  9 Co 2.33-2.49
Co6 0.3617 0.2411 0.1206  7 Co 2.38-2.49
Co7 0.8794 0.2411 0.1206  7 Co 2.38-2.49
Co8 0.8794 0.7589 0.1206  7 Co 2.38-2.49
Co9 0.6739 0.3478 0.3261  9 Co 2.33-2.49
Co10 0.6739 0.6522 0.3261  9 Co 2.33-2.49
Co11 0.9783 0.6522 0.3261  9 Co 2.33-2.49
Co12 0.1206 0.2411 0.3617  7 Co 2.38-2.49
Co13 0.0000 0.0000 0.5000  8 Co 2.33-2.49
Co14 0.0000 0.5000 0.5000  8 Co 2.33-2.49
Co15 0.5000 0.5000 0.5000  8 Co 2.33-2.49
Co16 0.8794 0.7589 0.6383  7 Co 2.38-2.49
Co17 0.0217 0.3478 0.6739  9 Co 2.33-2.49
Co18 0.3261 0.3478 0.6739  9 Co 2.33-2.49
Co19 0.3261 0.6522 0.6739  9 Co 2.33-2.49
Co20 0.1206 0.2411 0.8794  7 Co 2.38-2.49
Co21 0.1206 0.7589 0.8794  7 Co 2.38-2.49
Co22 0.6383 0.7589 0.8794  7 Co 2.38-2.49
Co23 0.3261 0.6522 0.9783  9 Co 2.33-2.49
Hf1 0.2902 0.0000 0.2902  12 Co 2.74-2.88
Hf2 0.7098 0.0000 0.2902  12 Co 2.74-2.88
Hf3 0.2902 0.5804 0.2902  12 Co 2.74-2.88
Hf4 0.2902 0.0000 0.7098  12 Co 2.74-2.88
Hf5 0.7098 0.4196 0.7098  12 Co 2.74-2.88
Hf6 0.7098 0.0000 0.7098  12 Co 2.74-2.88

Results
As for the crystal system: cubic. As for the symmetry: No. 225. The energy of formation comes out at -247.0 meV/atom.

***

The following is a DFT calculation (GGA-PBE) of a relaxed structure of HfCo2Hg.

Cell lengths 4.4827, 4.4827, 4.4827 Å; angles 60.00, 60.00, 60.00 degrees
Closest atoms and distances in Å follow each position.
Element x y z (fractional)
Co1 0.0000 0.0000 0.0000  4 Hf 2.75, 4 Co 2.75
Co2 0.2500 0.2500 0.2500  4 Hg 2.75, 4 Co 2.75
Hf1 0.7500 0.7500 0.7500  4 Hg 2.75, 4 Co 2.75
Hg1 0.5000 0.5000 0.5000  4 Hf 2.75, 4 Co 2.75

Results
As for the crystal system: cubic. As for the symmetry: No. 216. The energy of formation comes out at 238.8 meV/atom.

***

The following is a DFT calculation (GGA-PBE) of a relaxed structure of HfInCoHg.

Cell lengths 4.7057, 4.7057, 4.7057 Å; angles 60.00, 60.00, 60.00 degrees
Closest atoms and distances in Å follow each position.
Element x y z (fractional)
Co1 0.7500 0.7500 0.7500  4 Hf 2.88, 4 In 2.88
Hf1 0.5000 0.5000 0.5000  4 Hg 2.88, 4 Co 2.88
Hg1 0.2500 0.2500 0.2500  4 Hf 2.88, 4 In 2.88
In1 0.0000 0.0000 0.0000  4 Co 2.88, 4 Hg 2.88

Results
As for the crystal system: cubic. As for the symmetry: No. 216. As for the excess energy over the best structure of this formula in the dataset: 0.0000 eV per atom.